Crystalline FeINO2 at its relaxed geometry. Source: Alexandria via LeMat-Bulk, functional PBE+U.

Output
Spin magnetization = 4.08 μB per cell
E = -21.7 eV for the cell shown
Space group = P4/mmm (123)
V = 71 Å³/cell

Lattice parameters (Å, degrees): 4.098 4.098 4.214 90.00 90.00 90.00
Fractional coordinates of all 5 atoms:
Fe (0.000, 0.000, 0.000)
I (0.500, 0.500, 0.500)
N (0.500, 0.500, 0.000)
O (0.000, 0.500, 0.500)
O (0.500, 0.000, 0.500)